Compound: PrCd2
Source: Alexandria
Functional: GGA-PBE
Structure: optimized geometry

Lattice parameters (Å, degrees): 6.8962 6.8962 6.8962 150.59 150.59 42.08
Sites, in units of the cell vectors:
Pr 0.0000 0.0000 0.0000
Cd 0.3212 0.3212 0.0000
Cd 0.6788 0.6788 0.0000

Properties
As for the density of states at the Fermi level: 2.885 states/eV/cell. The total energy is -2.439 eV/atom. The energy of formation is -22.77 kJ/mol of atoms.

Compound: Pm3ErCl
Source: Alexandria
Functional: GGA-PBE
Structure: optimized geometry

Lattice parameters (Å, degrees): 5.4124 5.4124 5.4124 90.00 90.00 90.00
Sites, in units of the cell vectors:
Pm 0.0000 0.0000 0.5000
Pm 0.0000 0.5000 0.0000
Pm 0.5000 0.0000 0.0000
Er 0.5000 0.5000 0.5000
Cl 0.0000 0.0000 0.0000

Properties
As for the formation energy (no corrections): -0.485 eV/atom. As for the density of states at the Fermi level: 4.523 states/eV/cell. The total energy is -4.617 eV/atom.

Compound: Al2SiTcPt
Source: Alexandria
Functional: GGA-PBE
Structure: optimized geometry

Lattice parameters (Å, degrees): 4.6986 4.6986 4.8301 90.00 90.00 90.00
Sites, in units of the cell vectors:
Al 0.0000 0.5000 0.0000
Al 0.5000 0.0000 0.0000
Si 0.0000 0.0000 0.5000
Tc 0.5000 0.5000 0.0000
Pt 0.5000 0.5000 0.5000

Properties
As for the formation energy (no corrections): 0.746 eV/atom. As for the density of states at the Fermi level: 1.252 states/eV/cell. The total energy is -5.117 eV/atom.